Material: Al2CdPd3Au3
Method: DFT, PBE
State: relaxed

The value obtained for the formation energy is -428.5 meV per atom. As for the total magnetization: 0.00 μB per formula unit. The crystal system is hexagonal. Its electronic total energy is -0.1538 hartree per atom. Its density of states at the Fermi level is 3.5 states/eV/f.u.

a = 7.5145 Å, b = 7.5145 Å, c = 3.0579 Å
α = 90.00°, β = 90.00°, γ = 120.00°
With the nearest neighbours (Å) after each atom.
Space group P-62m (No. 189)
Inequivalent atoms, fractional coordinates:
Al 0.3333 0.6667 0.0000 x2  3 Au 2.59, 6 Pd 2.81
Cd 0.0000 0.0000 0.5000 x1  6 Au 2.79, 3 Pd 2.82, 2 Cd 3.06
Pd 0.0000 0.3758 0.5000 x3  6 Au 2.81-3.03, 4 Al 2.81, 1 Cd 2.82, 2 Pd 3.06
Au 0.0000 0.6892 0.0000 x3  2 Al 2.59, 2 Cd 2.79, 2 Pd 2.81